[1]
# Tl2CdOs (PBE, optimized geometry)
data_Tl2CdOs
_symmetry_space_group_name_H-M 'C 1 2/m 1'
_symmetry_Int_Tables_number 12
_cell_length_a 6.192
_cell_length_b 9.627
_cell_length_c 3.404
_cell_angle_alpha 90.00
_cell_angle_beta 121.53
_cell_angle_gamma 90.00
loop_
_symmetry_equiv_pos_as_xyz
'x,y,z'
'-x,-y,-z'
'-x,y,-z'
'x,-y,z'
'x+1/2,y+1/2,z'
'-x+1/2,-y+1/2,-z'
'-x+1/2,y+1/2,-z'
'x+1/2,-y+1/2,z'
loop_
_atom_site_label
_atom_site_fract_x
_atom_site_fract_y
_atom_site_fract_z
Tl1 0.250 0.250 0.000
Cd1 0.000 0.000 0.500
Os1 0.000 0.500 0.500
# M_tot, μB per formula unit: 0.0
# Energy, eV per atom: -3.373
# Calculated formation energy, eV per atom: 0.8465
# Distance to the lowest polymorph of the same formula, meV per atom: 293



[2]
# TlCdOs (PBE, optimized geometry)
data_TlCdOs
_symmetry_space_group_name_H-M 'F -4 3 m'
_symmetry_Int_Tables_number 216
_symmetry_space_group_name_Hall 'F -4 2 3'
_cell_length_a 6.479
_cell_length_b 6.479
_cell_length_c 6.479
_cell_angle_alpha 90.00
_cell_angle_beta 90.00
_cell_angle_gamma 90.00
loop_
_atom_site_label
_atom_site_fract_x
_atom_site_fract_y
_atom_site_fract_z
Tl1 0.000 0.000 0.000
Cd1 0.000 0.000 0.500
Os1 0.250 0.250 0.750
# M_tot, μB per formula unit: 0.0
# Energy, eV per atom: -3.907
# Calculated formation energy, eV per atom: 0.9303
# Distance to the lowest polymorph of the same formula, meV per atom: 117